Entry 1:
A geometry-optimized YReTc structure. Source: Alexandria, functional PBE.

Computed properties:
Symmetry   F-43m (216)
Fermi-level density of states   8.77 states/eV/cell
Crystal system   cubic
ΔE to the lowest computed polymorph   201 kJ/mol of formula units
Energy relative to the elements   0.53 eV per atom

abc: 6.291 6.291 6.291
angles: 90.00 90.00 90.00
Element x y z (fractional)
Y1 0.000 0.000 0.000
Y2 0.000 0.500 0.500
Y3 0.500 0.000 0.500
Y4 0.500 0.500 0.000
Re1 0.000 0.000 0.500
Re2 0.000 0.500 0.000
Re3 0.500 0.000 0.000
Re4 0.500 0.500 0.500
Tc1 0.250 0.250 0.750
Tc2 0.250 0.750 0.250
Tc3 0.750 0.250 0.250
Tc4 0.750 0.750 0.750



Entry 2:
A geometry-optimized TaNb8Rh2 structure. Source: Alexandria, functional PBE.

Computed properties:
Symmetry   P2/m (10)
Fermi-level density of states   10.49 states/eV/cell
Crystal system   monoclinic
Energy relative to the elements   0.00 eV per atom

abc: 6.395 4.622 7.063
angles: 90.00 103.52 90.00
Element x y z (fractional)
Ta1 0.000 0.000 0.000
Nb1 0.087 0.500 0.335
Nb2 0.174 0.000 0.678
Nb3 0.259 0.500 0.000
Nb4 0.341 0.000 0.329
Nb5 0.659 0.000 0.671
Nb6 0.741 0.500 0.000
Nb7 0.826 0.000 0.322
Nb8 0.913 0.500 0.665
Rh1 0.411 0.500 0.672
Rh2 0.589 0.500 0.328



Entry 3:
A geometry-optimized Sr4Ca6Br19 structure. Source: Alexandria, functional PBE.

Computed properties:
Symmetry   I23 (197)
Fermi-level density of states   2.47 states/eV/cell
Uncorrected formation energy   -1.94 eV per atom
Crystal system   cubic

abc: 11.088 11.088 11.088
angles: 109.47 109.47 109.47
Element x y z (fractional)
Sr1 0.000 0.000 0.710
Sr2 0.000 0.710 0.000
Sr3 0.290 0.290 0.290
Sr4 0.710 0.000 0.000
Ca1 0.160 0.660 0.500
Ca2 0.340 0.500 0.840
Ca3 0.500 0.160 0.660
Ca4 0.500 0.840 0.340
Ca5 0.660 0.500 0.160
Ca6 0.840 0.340 0.500
Br1 0.000 0.000 0.000
Br2 0.000 0.326 0.326
Br3 0.000 0.674 0.674
Br4 0.036 0.256 0.651
Br5 0.220 0.964 0.615
Br6 0.256 0.651 0.036
Br7 0.326 0.000 0.326
Br8 0.326 0.326 0.000
Br9 0.349 0.605 0.385
Br10 0.385 0.349 0.605
Br11 0.395 0.744 0.780
Br12 0.605 0.385 0.349
Br13 0.615 0.220 0.964
Br14 0.651 0.036 0.256
Br15 0.674 0.000 0.674
Br16 0.674 0.674 0.000
Br17 0.744 0.780 0.395
Br18 0.780 0.395 0.744
Br19 0.964 0.615 0.220



Entry 4:
A geometry-optimized Li2Pr2TmMg5 structure. Source: Alexandria, functional PBE.

Computed properties:
Symmetry   P4/mbm (127)
Fermi-level density of states   17.60 states/eV/cell
Crystal system   tetragonal
Energy relative to the elements   -0.05 eV per atom

abc: 10.631 10.631 4.541
angles: 90.00 90.00 90.00
Element x y z (fractional)
Li1 0.113 0.387 0.000
Li2 0.387 0.887 0.000
Li3 0.613 0.113 0.000
Li4 0.887 0.613 0.000
Pr1 0.182 0.682 0.000
Pr2 0.318 0.182 0.000
Pr3 0.682 0.818 0.000
Pr4 0.818 0.318 0.000
Tm1 0.000 0.000 0.000
Tm2 0.500 0.500 0.000
Mg1 0.000 0.500 0.500
Mg2 0.061 0.212 0.500
Mg3 0.212 0.939 0.500
Mg4 0.288 0.439 0.500
Mg5 0.439 0.712 0.500
Mg6 0.500 0.000 0.500
Mg7 0.561 0.288 0.500
Mg8 0.712 0.561 0.500
Mg9 0.788 0.061 0.500
Mg10 0.939 0.788 0.500



Entry 5:
A geometry-optimized AlI2O2 structure. Source: Alexandria, functional PBE.

Computed properties:
Symmetry   P4/mmm (123)
Fermi-level density of states   3.05 states/eV/cell
Uncorrected formation energy   -0.40 eV per atom
Crystal system   tetragonal
ΔE to the lowest computed polymorph   0 kJ/mol of formula units

abc: 4.011 4.011 6.267
angles: 90.00 90.00 90.00
Element x y z (fractional)
Al1 0.000 0.000 0.000
I1 0.000 0.000 0.500
I2 0.500 0.500 0.500
O1 0.000 0.500 0.000
O2 0.500 0.000 0.000



Entry 6:
A geometry-optimized LiAg2SI structure. Source: Alexandria, functional PBE.

Computed properties:
Symmetry   P4/mmm (123)
Uncorrected formation energy   -0.43 eV per atom
Crystal system   tetragonal

abc: 4.960 4.960 4.871
angles: 90.00 90.00 90.00
Element x y z (fractional)
Li1 0.000 0.000 0.000
Ag1 0.000 0.500 0.500
Ag2 0.500 0.000 0.500
S1 0.000 0.000 0.500
I1 0.500 0.500 0.000



Entry 7:
A geometry-optimized AgCl2 structure. Source: Alexandria, functional PBE.

Computed properties:
Symmetry   Fd-3m (227)
Fermi-level density of states   3.38 states/eV/cell
Uncorrected formation energy   0.49 eV per atom
Crystal system   cubic

abc: 5.915 5.915 5.915
angles: 60.00 60.00 60.00
Element x y z (fractional)
Ag1 0.125 0.125 0.125
Ag2 0.875 0.875 0.875
Cl1 0.000 0.500 0.500
Cl2 0.500 0.000 0.500
Cl3 0.500 0.500 0.000
Cl4 0.500 0.500 0.500